Below is SrVTc2Ge after structural relaxation, with properties calculated at the GGA-PBE level.

Properties
E_tot   -6.58 eV/atom
DOS(E_F)   4.25 states/eV per cell
Space-group type   P4/mmm
Size of the total moment   1.160 Bohr magnetons per cell

abc: 4.602 4.602 4.897
angles: 90.00 90.00 90.00
Fractional coordinates of all 5 atoms:
Sr (0.000, 0.000, 0.000)
V (0.500, 0.500, 0.500)
Tc (0.000, 0.500, 0.500)
Tc (0.500, 0.000, 0.500)
Ge (0.500, 0.500, 0.000)

Below is BaCdRuO6 after structural relaxation, with properties calculated at the GGA-PBE level.

Properties
DOS(E_F)   0.86 states/eV per cell
Space-group type   C2
Size of the total moment   0.000 Bohr magnetons per cell
E_form (uncorrected)   -110.29 kJ/mol of atoms

abc: 5.760 5.760 5.424
angles: 91.13 91.13 121.48
Fractional coordinates of all 9 atoms:
Ba (0.000, 0.000, 0.000)
Cd (0.650, 0.350, 0.500)
Ru (0.322, 0.678, 0.500)
O (0.005, 0.651, 0.693)
O (0.049, 0.477, 0.273)
O (0.309, 0.406, 0.683)
O (0.349, 0.995, 0.307)
O (0.523, 0.951, 0.727)
O (0.594, 0.691, 0.317)